# Cs2Ce2TmSe6 | Alexandria via LeMat-Bulk | PBE | relaxed
data_Cs2Ce2TmSe6
_chemical_formula_sum 'Cs2 Ce2 Tm1 Se6'
_cell_length_a 7.373
_cell_length_b 7.373
_cell_length_c 8.888
_cell_angle_alpha 97.99
_cell_angle_beta 97.99
_cell_angle_gamma 119.82
_space_group_name_H-M_alt 'P 1'
_space_group_IT_number 1
_space_group_name_Hall 'P 1'
loop_
_atom_site_label
_atom_site_fract_x
_atom_site_fract_y
_atom_site_fract_z
Cs1 0.833 0.167 0.000
Cs2 0.167 0.833 0.000
Ce1 0.334 0.666 0.500
Ce2 0.666 0.334 0.500
Tm1 0.000 0.000 0.500
Se1 0.735 0.735 0.681
Se2 0.060 0.388 0.681
Se3 0.265 0.265 0.319
Se4 0.388 0.060 0.681
Se5 0.940 0.612 0.319
Se6 0.612 0.940 0.319
# Formation energy without anion corrections: -1824 kJ/mol of formula units
# Space group: C2/m
# V: 36.62 A^3/atom
# Magnetization: 1.02 μB/f.u.

# IrPt2Br | Alexandria via LeMat-Bulk | PBE | relaxed
data_IrPt2Br
_chemical_formula_sum 'Ir1 Pt2 Br1'
_cell_length_a 2.880
_cell_length_b 2.880
_cell_length_c 9.729
_cell_angle_alpha 90.00
_cell_angle_beta 90.00
_cell_angle_gamma 121.89
_space_group_name_H-M_alt 'P 1'
_space_group_IT_number 1
_space_group_name_Hall 'P 1'
loop_
_atom_site_label
_atom_site_fract_x
_atom_site_fract_y
_atom_site_fract_z
Ir1 0.500 0.500 0.755
Br1 0.000 0.000 0.525
Pt1 0.000 0.000 0.988
Pt2 0.500 0.500 0.232
# Formation energy without anion corrections: 220 kJ/mol of formula units
# Space group: Cmm2
# V: 17.13 A^3/atom
# Offset from the most stable computed form: 0.193 eV/atom
# Magnetization: 0.00 μB/f.u.

# CdSbRh2 | Alexandria via LeMat-Bulk | PBE | relaxed
data_CdSbRh2
_chemical_formula_sum 'Cd1 Sb1 Rh2'
_cell_length_a 6.002
_cell_length_b 6.002
_cell_length_c 6.002
_cell_angle_alpha 147.47
_cell_angle_beta 140.43
_cell_angle_gamma 52.12
_space_group_name_H-M_alt 'P 1'
_space_group_IT_number 1
_space_group_name_Hall 'P 1'
loop_
_atom_site_label
_atom_site_fract_x
_atom_site_fract_y
_atom_site_fract_z
Cd1 0.719 0.219 0.500
Sb1 0.467 0.467 0.000
Rh1 0.027 0.027 0.000
Rh2 0.286 0.786 0.500
# Formation energy without anion corrections: -52 kJ/mol of formula units
# Space group: Imm2
# V: 18.42 A^3/atom
# Magnetization: 0.00 μB/f.u.